Record 1
Below is crystalline Hg2AsSe at its relaxed geometry, with properties calculated at the PBE level.

a = 8.0188 Å, b = 8.0188 Å, c = 8.0188 Å
α = 27.52°, β = 27.52°, γ = 27.52°
Atoms (fractional coordinates):
As1 0.7559 0.7559 0.7559
Hg1 0.0049 0.0049 0.0049
Hg2 0.2495 0.2495 0.2495
Se1 0.4899 0.4899 0.4899

Output
As for the density of states at the Fermi level: 0.42 states/eV per atom. The space group is R3m (160). As for the total magnetization: 0.00 μB per formula unit. For the raw formation energy, the calculation gives 106 meV/atom.

=====

Record 2
Below is crystalline CrHgP at its relaxed geometry, with properties calculated at the PBE level.

a = 3.7318 Å, b = 2.7224 Å, c = 5.0777 Å
α = 90.00°, β = 90.00°, γ = 90.00°
Atoms (fractional coordinates):
Cr1 0.0000 0.0000 0.5000
Hg1 0.0000 0.5000 0.0000
P1 0.5000 0.5000 0.5000

Output
As for the density of states at the Fermi level: 0.60 states/eV per atom. The space group is Pmmm (47). Its formation enthalpy at 0 K is 0.12 eV per atom. As for the total magnetization: 0.00 μB per formula unit. For the offset from the most stable computed form, the calculation gives 199 meV per atom.

=====

Record 3
Below is crystalline Pu3Ir2 at its relaxed geometry, with properties calculated at the PBE level.

a = 4.7715 Å, b = 7.9345 Å, c = 9.4076 Å
α = 82.75°, β = 90.00°, γ = 107.50°
Site moments in Bohr magnetons follow the coordinates.
Atoms (fractional coordinates):
Pu1 0.8532 0.7063 0.0900  -4.89
Pu2 0.1468 0.2937 0.9100  -4.89
Pu3 0.8875 0.7749 0.4278  -5.20
Pu4 0.1125 0.2251 0.5722  -5.20
Pu5 0.2293 0.4587 0.2488  4.99
Pu6 0.7707 0.5413 0.7512  4.99
Pu7 0.5433 0.0867 0.3318  -5.08
Pu8 0.4567 0.9133 0.6682  -5.08
Pu9 0.5000 0.0000 0.0000  4.73
Ir1 0.7003 0.4006 0.4457  0.20
Ir2 0.2997 0.5994 0.5543  0.20
Ir3 0.6718 0.3437 0.0702  0.07
Ir4 0.3282 0.6563 0.9298  0.07
Ir5 0.0359 0.0718 0.1769  0.16
Ir6 0.9641 0.9282 0.8231  0.16

Output
As for the density of states at the Fermi level: 4.35 states/eV per atom. The space group is C2/m (12). Its formation enthalpy at 0 K is -0.26 eV per atom. As for the total magnetization: 5.23 μB per formula unit. For the offset from the most stable computed form, the calculation gives 73 meV per atom.

=====

Record 4
Below is crystalline NaZnFe2 at its relaxed geometry, with properties calculated at the PBE level.

a = 3.7202 Å, b = 3.7202 Å, c = 9.7831 Å
α = 79.04°, β = 79.04°, γ = 90.00°
Site moments in Bohr magnetons follow the coordinates.
Atoms (fractional coordinates):
Na1 0.5000 0.5000 0.0000  -0.01
Na2 0.2500 0.7500 0.5000  -0.01
Zn1 0.0000 0.0000 0.0000  -0.06
Zn2 0.7500 0.2500 0.5000  -0.06
Fe1 0.0769 0.1250 0.2500  2.68
Fe2 0.6731 0.6250 0.2500  2.66
Fe3 0.3750 0.9231 0.7500  2.66
Fe4 0.8750 0.3269 0.7500  2.65

Output
As for the density of states at the Fermi level: 1.03 states/eV per atom. The space group is I-42d (122). Its formation enthalpy at 0 K is 0.75 eV per atom. As for the total magnetization: 5.28 μB per formula unit.

=====

Record 5
Below is crystalline K2LaPb at its relaxed geometry, with properties calculated at the PBE level.

a = 3.6466 Å, b = 3.6466 Å, c = 13.7847 Å
α = 90.00°, β = 90.00°, γ = 114.64°
Atoms (fractional coordinates):
K1 0.0000 0.0000 0.9771
K2 0.0000 0.0000 0.5229
La1 0.5000 0.5000 0.2500
Pb1 0.5000 0.5000 0.7500

Output
As for the density of states at the Fermi level: 1.55 states/eV per atom. The space group is Cmmm (65). Its formation enthalpy at 0 K is 0.22 eV per atom. As for the total magnetization: 0.14 μB per formula unit.

=====

Record 6
Below is crystalline LiTi2BrCl at its relaxed geometry, with properties calculated at the PBE level.

a = 4.8419 Å, b = 4.3800 Å, c = 4.8419 Å
α = 90.00°, β = 90.00°, γ = 90.00°
Site moments in Bohr magnetons follow the coordinates.
Atoms (fractional coordinates):
Cl1 0.5000 0.5000 0.5000  -0.02
Li1 0.0000 0.0000 0.0000  0.04
Br1 0.0000 0.5000 0.0000  -0.03
Ti1 0.0000 0.0000 0.5000  1.32
Ti2 0.5000 0.0000 0.0000  1.23

Output
As for the density of states at the Fermi level: 1.26 states/eV per atom. The space group is P4/mmm (123). As for the total magnetization: 3.31 μB per formula unit. For the raw formation energy, the calculation gives 516 meV/atom.

=====

Please write out number 2 again, unchanged.
Below is crystalline CrHgP at its relaxed geometry, with properties calculated at the PBE level.

a = 3.7318 Å, b = 2.7224 Å, c = 5.0777 Å
α = 90.00°, β = 90.00°, γ = 90.00°
Atoms (fractional coordinates):
Cr1 0.0000 0.0000 0.5000
Hg1 0.0000 0.5000 0.0000
P1 0.5000 0.5000 0.5000

Output
As for the density of states at the Fermi level: 0.60 states/eV per atom. The space group is Pmmm (47). Its formation enthalpy at 0 K is 0.12 eV per atom. As for the total magnetization: 0.00 μB per formula unit. For the offset from the most stable computed form, the calculation gives 199 meV per atom.

=====

- Which of these has the highest total magnetization?
  NaZnFe2

=====

Repeat the third record exactly.
Below is crystalline Pu3Ir2 at its relaxed geometry, with properties calculated at the PBE level.

a = 4.7715 Å, b = 7.9345 Å, c = 9.4076 Å
α = 82.75°, β = 90.00°, γ = 107.50°
Site moments in Bohr magnetons follow the coordinates.
Atoms (fractional coordinates):
Pu1 0.8532 0.7063 0.0900  -4.89
Pu2 0.1468 0.2937 0.9100  -4.89
Pu3 0.8875 0.7749 0.4278  -5.20
Pu4 0.1125 0.2251 0.5722  -5.20
Pu5 0.2293 0.4587 0.2488  4.99
Pu6 0.7707 0.5413 0.7512  4.99
Pu7 0.5433 0.0867 0.3318  -5.08
Pu8 0.4567 0.9133 0.6682  -5.08
Pu9 0.5000 0.0000 0.0000  4.73
Ir1 0.7003 0.4006 0.4457  0.20
Ir2 0.2997 0.5994 0.5543  0.20
Ir3 0.6718 0.3437 0.0702  0.07
Ir4 0.3282 0.6563 0.9298  0.07
Ir5 0.0359 0.0718 0.1769  0.16
Ir6 0.9641 0.9282 0.8231  0.16

Output
As for the density of states at the Fermi level: 4.35 states/eV per atom. The space group is C2/m (12). Its formation enthalpy at 0 K is -0.26 eV per atom. As for the total magnetization: 5.23 μB per formula unit. For the offset from the most stable computed form, the calculation gives 73 meV per atom.